Material: RbMgSnCl5
Method: DFT, PBE
State: optimized geometry

a b c (Å): 7.534 7.534 10.731
angles (deg): 109.56 109.56 97.68
Positions (direct):
Rb  0.337  0.663  0.250
Rb  0.663  0.337  0.750
Mg  0.000  0.000  0.500
Mg  0.000  0.000  0.000
Sn  0.754  0.246  0.250
Sn  0.246  0.754  0.750
Cl  0.014  0.986  0.250
Cl  0.986  0.014  0.750
Cl  0.912  0.311  0.060
Cl  0.088  0.689  0.940
Cl  0.689  0.088  0.440
Cl  0.311  0.912  0.560
Cl  0.808  0.638  0.399
Cl  0.192  0.362  0.601
Cl  0.362  0.192  0.101
Cl  0.638  0.808  0.899

VASP energy = -3.505 eV per atom
DOS at the Fermi energy = 0.000 states/eV/f.u.